The following is a DFT calculation (PBE) of crystalline AcGaAg4 at its relaxed geometry.

* symmetry: Cmcm, No. 63
* energy above the most stable polymorph in this dataset: 0.089 eV/atom

Cell lengths 5.188, 7.457, 7.629 Å; angles 90.00, 109.88, 90.00 degrees
Fractional coordinates of all 12 atoms:
1 Ga 0.128 0.750 0.255
2 Ga 0.872 0.250 0.745
3 Ag 0.621 0.750 0.242
4 Ag 0.000 0.500 0.000
5 Ag 0.792 0.941 0.583
6 Ag 0.000 0.000 0.000
7 Ag 0.792 0.559 0.583
8 Ag 0.208 0.059 0.417
9 Ag 0.208 0.441 0.417
10 Ac 0.608 0.250 0.216
11 Ag 0.379 0.250 0.758
12 Ac 0.392 0.750 0.784

---

The following is a DFT calculation (PBE) of crystalline AcGa3Ag2 at its relaxed geometry.

* symmetry: Cmcm, No. 63

Cell lengths 5.726, 6.831, 6.831 Å; angles 101.70, 90.00, 90.00 degrees
Fractional coordinates of all 12 atoms:
1 Ga 0.750 0.052 0.052
2 Ga 0.250 0.948 0.948
3 Ag 0.000 0.225 0.775
4 Ac 0.750 0.679 0.679
5 Ga 0.750 0.447 0.107
6 Ga 0.750 0.107 0.447
7 Ag 0.500 0.775 0.225
8 Ga 0.250 0.893 0.553
9 Ac 0.250 0.321 0.321
10 Ga 0.250 0.553 0.893
11 Ag 0.000 0.775 0.225
12 Ag 0.500 0.225 0.775

---

Number 1: energy of formation from the pure elements -0.097 eV per atom. Number 2: energy of formation from the pure elements -0.281 eV per atom.